# 1
This record from the Alexandria database describes a relaxed structure of TbSmDy2Ho5. The functional is GGA-PBE.

Geometry as extended XYZ:
```
18
Lattice="-4.438 4.438 7.343 4.438 -4.438 7.343 4.438 4.438 -7.343" Properties=species:S:1:pos:R:3 pbc="T T T"
Tb 4.438 0.000 3.672
Tb 0.000 4.438 3.672
Sm 0.000 0.000 3.672
Sm 0.000 0.000 11.015
Dy 5.442 1.004 0.000
Dy 1.004 3.434 0.000
Dy 3.434 1.004 7.343
Dy -1.004 3.434 7.343
Ho 0.000 0.000 0.000
Ho 2.616 1.822 -1.950
Ho 2.616 -1.822 5.393
Ho 2.616 1.822 1.950
Ho 2.616 -1.822 9.294
Ho 0.000 0.000 7.343
Ho 1.822 6.260 -1.950
Ho 1.822 2.616 5.393
Ho 1.822 6.260 1.950
Ho 1.822 2.616 9.294
```

The value obtained for the energy relative to the elements is 293 meV/atom. For the magnetization, the calculation gives 0.00 μB per cell.

# 2
This record from the Alexandria database describes a relaxed structure of Ba3CaS4. The functional is GGA-PBE.

Geometry as extended XYZ:
```
8
Lattice="4.453 -6.287 0.000 4.453 6.287 0.000 0.000 0.000 4.449" Properties=species:S:1:pos:R:3 pbc="T T T"
Ba 0.000 0.000 0.000
Ba 2.226 3.143 2.224
Ba 2.226 -3.143 2.224
Ca 4.453 0.000 0.000
S 4.453 3.022 0.000
S 2.375 0.000 2.224
S 6.531 0.000 2.224
S 4.453 -3.022 0.000
```

For the magnetization, the calculation gives 0.00 μB per cell. The uncorrected formation energy is -197 kJ per mole of atoms.

# 3
This record from the Alexandria database describes a relaxed structure of La4Tl2N. The functional is GGA-PBE.

Geometry as extended XYZ:
```
7
Lattice="2.612 -12.421 0.000 2.612 12.421 0.000 0.000 0.000 3.549" Properties=species:S:1:pos:R:3 pbc="T T T"
La 2.612 10.781 0.000
La 2.612 7.280 1.775
La 2.612 -7.280 1.775
La 2.612 -10.781 0.000
Tl 2.612 3.960 0.000
Tl 2.612 -3.960 0.000
N 0.000 0.000 1.775
```

As for the excess energy over the best structure of this formula in the dataset: 223.3 meV/atom. For the magnetization, the calculation gives 0.00 μB per cell. The uncorrected formation energy is -40 kJ per mole of atoms.

# 4
This record from the Alexandria database describes a relaxed structure of Zn3GeMo. The functional is GGA-PBE.

Geometry as extended XYZ:
```
5
Lattice="4.866 0.000 0.000 0.000 4.866 0.000 0.000 0.000 4.866" Properties=species:S:1:pos:R:3 pbc="T T T"
Zn 0.000 0.000 2.433
Zn 0.000 2.433 0.000
Zn 2.433 0.000 0.000
Ge 2.433 2.433 2.433
Mo 0.000 0.000 0.000
```

The value obtained for the energy relative to the elements is 1073 meV/atom. As for the excess energy over the best structure of this formula in the dataset: 0.0 meV/atom. For the magnetization, the calculation gives 0.00 μB per cell.

# 5
This record from the Alexandria database describes a relaxed structure of Pr4Y4Tm3. The functional is GGA-PBE.

Geometry as extended XYZ:
```
11
Lattice="3.547 0.000 0.000 0.000 5.660 0.000 1.773 2.823 18.050" Properties=species:S:1:pos:R:3 pbc="T T T"
Pr 0.886 1.418 7.366
Pr 0.885 4.246 2.548
Pr 4.436 4.238 15.503
Pr 4.434 7.065 10.685
Y 0.885 4.248 5.751
Y 0.887 1.415 0.627
Y 4.433 7.068 17.423
Y 4.436 4.235 12.299
Tm 2.662 7.067 13.963
Tm 2.660 4.242 9.025
Tm 2.659 1.416 4.087
```

The value obtained for the energy relative to the elements is 57 meV/atom. As for the excess energy over the best structure of this formula in the dataset: 0.0 meV/atom. For the magnetization, the calculation gives 0.00 μB per cell.

# 6
This record from the Alexandria database describes a relaxed structure of LiGaAsPd. The functional is GGA-PBE.

Geometry as extended XYZ:
```
4
Lattice="0.000 3.160 3.160 3.160 0.000 3.160 3.160 3.160 0.000" Properties=species:S:1:pos:R:3 pbc="T T T"
Li 0.000 0.000 0.000
Ga 1.580 1.580 1.580
As 4.740 4.740 4.740
Pd 3.160 3.160 3.160
```

The value obtained for the energy relative to the elements is -401 meV/atom. For the magnetization, the calculation gives 0.00 μB per cell.

# 7
This record from the Alexandria database describes a relaxed structure of Pr4Sb2SN2. The functional is GGA-PBE.

Geometry as extended XYZ:
```
9
Lattice="7.689 -2.122 0.000 7.689 2.122 0.000 -3.301 0.000 7.523" Properties=species:S:1:pos:R:3 pbc="T T T"
Pr -0.565 0.000 2.116
Pr 3.155 0.000 2.678
Pr 8.922 0.000 4.845
Pr 12.642 0.000 5.407
Sb 2.946 0.000 7.180
Sb 9.131 0.000 0.343
S 6.038 0.000 3.761
N 1.065 0.000 3.704
N 11.011 0.000 3.819
```

For the magnetization, the calculation gives 0.00 μB per cell. The uncorrected formation energy is -125 kJ per mole of atoms.

# 8
This record from the Alexandria database describes a relaxed structure of Pm2BeAs. The functional is GGA-PBE.

Geometry as extended XYZ:
```
4
Lattice="0.000 3.581 3.581 3.581 0.000 3.581 3.581 3.581 0.000" Properties=species:S:1:pos:R:3 pbc="T T T"
Pm 1.791 1.791 1.791
Pm 5.372 5.372 5.372
Be 0.000 0.000 0.000
As 3.581 3.581 3.581
```

The value obtained for the energy relative to the elements is -354 meV/atom. As for the excess energy over the best structure of this formula in the dataset: 120.8 meV/atom. For the magnetization, the calculation gives 0.00 μB per cell.

# 9
This record from the Alexandria database describes a relaxed structure of In3Sn2Hg. The functional is GGA-PBE.

Geometry as extended XYZ:
```
6
Lattice="2.717 -8.513 0.000 2.717 8.513 0.000 0.000 0.000 3.525" Properties=species:S:1:pos:R:3 pbc="T T T"
In 0.000 0.000 0.000
In 2.717 2.901 0.000
In 2.717 -2.901 0.000
Sn 2.717 5.807 1.763
Sn 2.717 -5.807 1.763
Hg 2.717 0.000 1.763
```

The value obtained for the energy relative to the elements is 30 meV/atom. As for the excess energy over the best structure of this formula in the dataset: 0.0 meV/atom. For the magnetization, the calculation gives 0.00 μB per cell.

# 10
This record from the Alexandria database describes a relaxed structure of Ba2Ag. The functional is GGA-PBE.

Geometry as extended XYZ:
```
6
Lattice="2.215 -7.677 0.000 2.215 7.677 0.000 0.000 0.000 8.173" Properties=species:S:1:pos:R:3 pbc="T T T"
Ba 2.215 7.411 4.086
Ba 2.215 3.380 2.646
Ba 2.215 -3.380 6.732
Ba 2.215 -7.411 0.000
Ag 2.215 1.758 5.874
Ag 2.215 -1.758 1.787
```

The value obtained for the energy relative to the elements is -159 meV/atom. As for the excess energy over the best structure of this formula in the dataset: 19.2 meV/atom. For the magnetization, the calculation gives 0.00 μB per cell.

# 11
This record from the Alexandria database describes a relaxed structure of Pr2Pd2I. The functional is GGA-PBE.

Geometry as extended XYZ:
```
10
Lattice="-3.787 8.641 2.282 3.787 -8.641 2.282 3.787 8.641 -2.282" Properties=species:S:1:pos:R:3 pbc="T T T"
Pr 1.894 10.252 -1.141
Pr 1.894 1.611 1.141
Pr -1.894 7.029 1.141
Pr 1.894 7.029 1.141
Pd 3.787 -0.812 1.139
Pd 3.787 7.828 -1.139
Pd 0.000 0.812 3.421
Pd 0.000 9.453 1.144
I 0.000 4.320 0.306
I 3.787 4.320 1.976
```

For the magnetization, the calculation gives 0.00 μB per cell. The uncorrected formation energy is -83 kJ per mole of atoms.

# 12
This record from the Alexandria database describes a relaxed structure of Pm3Dy8Tm2. The functional is GGA-PBE.

Geometry as extended XYZ:
```
13
Lattice="7.330 -4.561 0.000 7.330 4.561 0.000 -2.244 0.000 6.546" Properties=species:S:1:pos:R:3 pbc="T T T"
Pm 0.000 0.000 0.000
Pm 6.208 2.964 3.273
Pm 6.208 -2.964 3.273
Dy 0.799 0.000 5.875
Dy 3.738 1.646 5.364
Dy 5.460 0.000 1.770
Dy 8.678 1.646 1.182
Dy 3.738 -1.646 5.364
Dy 6.956 0.000 4.776
Dy 8.678 -1.646 1.182
Dy 11.617 0.000 0.671
Tm 2.161 0.000 2.773
Tm 10.255 0.000 3.773
```

The value obtained for the energy relative to the elements is 233 meV/atom. For the magnetization, the calculation gives 0.00 μB per cell.

# 13
This record from the Alexandria database describes a relaxed structure of Si2TeSe. The functional is GGA-PBE.

Geometry as extended XYZ:
```
4
Lattice="3.213 0.000 0.000 0.000 3.213 0.000 0.000 0.000 8.712" Properties=species:S:1:pos:R:3 pbc="T T T"
Si 0.000 0.000 0.000
Si 1.606 1.606 1.396
Te 0.000 0.000 3.731
Se 1.606 1.606 7.359
```

As for the excess energy over the best structure of this formula in the dataset: 381.8 meV/atom. For the magnetization, the calculation gives 0.00 μB per cell. The uncorrected formation energy is 31 kJ per mole of atoms.

# 14
This record from the Alexandria database describes a relaxed structure of K2RbCaF5. The functional is GGA-PBE.

Geometry as extended XYZ:
```
9
Lattice="-2.197 3.213 6.406 2.197 -3.213 6.406 2.197 3.213 -6.406" Properties=species:S:1:pos:R:3 pbc="T T T"
K 0.000 0.000 2.761
K 0.000 0.000 10.052
Rb 0.000 3.213 0.000
Ca 2.197 0.000 0.000
F 0.000 0.000 0.000
F 2.197 1.546 -1.659
F 2.197 1.546 1.659
F 0.000 1.667 4.748
F 0.000 1.667 8.065
```

For the magnetization, the calculation gives 0.06 μB per cell. The uncorrected formation energy is -300 kJ per mole of atoms.

# 15
This record from the Alexandria database describes a relaxed structure of K2HgMo. The functional is GGA-PBE.

Geometry as extended XYZ:
```
4
Lattice="4.990 0.000 0.000 0.000 2.472 6.509 0.000 -2.472 6.509" Properties=species:S:1:pos:R:3 pbc="T T T"
K 0.000 0.000 0.000
K 2.495 0.000 3.976
Hg 0.000 0.000 9.217
Mo 2.495 0.000 7.814
```

The value obtained for the energy relative to the elements is 900 meV/atom. For the magnetization, the calculation gives 4.41 μB per cell.

# 16
This record from the Alexandria database describes a relaxed structure of Cu3Hg5Br12. The functional is GGA-PBE.

Geometry as extended XYZ:
```
80
Lattice="-8.655 8.655 8.655 8.655 -8.655 8.655 8.655 8.655 -8.655" Properties=species:S:1:pos:R:3 pbc="T T T"
Cu 4.328 2.164 0.000
Cu 8.655 4.328 -2.164
Cu 2.164 0.000 4.328
Cu 10.819 0.000 4.328
Cu 0.000 4.328 2.164
Cu 4.328 -2.164 8.655
Cu 4.328 10.819 0.000
Cu 8.655 4.328 6.491
Cu -2.164 8.655 4.328
Cu 6.491 8.655 4.328
Cu 0.000 4.328 10.819
Cu 4.328 6.491 8.655
Hg 0.000 0.000 0.000
Hg 4.328 4.328 -4.328
Hg 4.328 -4.328 4.328
Hg 8.655 0.000 0.000
Hg 12.983 2.164 0.000
Hg 8.655 -4.328 6.491
Hg 6.491 8.655 -4.328
Hg 6.491 0.000 4.328
Hg 4.328 6.491 0.000
Hg 8.655 4.328 2.164
Hg -4.328 4.328 4.328
Hg 0.000 8.655 0.000
Hg 0.000 0.000 8.655
Hg 4.328 4.328 4.328
Hg 0.000 4.328 6.491
Hg 4.328 2.164 8.655
Hg 2.164 8.655 4.328
Hg 2.164 0.000 12.983
Hg 0.000 12.983 2.164
Hg -4.328 6.491 8.655
Br 7.085 -3.760 3.987
Br 14.553 -0.340 0.568
Br 7.085 4.895 -3.987
Br 5.898 0.340 0.568
Br 8.995 8.088 -5.898
Br 3.987 -1.570 3.760
Br 3.760 3.987 -1.570
Br 9.223 2.757 -0.340
Br 4.895 -3.987 7.085
Br 8.088 -5.898 8.995
Br 3.987 7.085 -3.760
Br 8.995 0.568 2.757
Br 8.995 -0.568 5.898
Br 12.643 1.570 3.760
Br 4.895 3.987 1.570
Br 8.088 5.898 -0.340
Br 0.568 5.898 0.340
Br 12.415 4.668 1.570
Br 0.340 0.568 5.898
Br 3.987 1.570 4.895
Br -1.570 3.760 3.987
Br 5.898 -0.340 8.088
Br 5.898 8.995 -0.568
Br 7.085 3.760 4.668
Br 1.570 4.895 3.987
Br 2.757 -0.340 9.223
Br 2.757 8.995 0.568
Br 10.226 4.895 4.668
Br 4.668 7.085 3.760
Br 8.315 8.088 2.757
Br -3.760 3.987 7.085
Br 8.088 2.757 8.315
Br 0.568 2.757 8.995
Br 3.760 4.668 7.085
Br -3.987 7.085 4.895
Br -0.340 9.223 2.757
Br -0.340 8.088 5.898
Br 4.668 1.570 12.415
Br 0.568 14.553 -0.340
Br 3.760 12.643 1.570
Br -0.568 5.898 8.995
Br 4.895 4.668 10.226
Br 4.668 10.226 4.895
Br -0.340 0.568 14.553
Br 2.757 8.315 8.088
Br 1.570 3.760 12.643
Br -5.898 8.995 8.088
Br 1.570 12.415 4.668
```

For the magnetization, the calculation gives 0.00 μB per cell. The uncorrected formation energy is -23 kJ per mole of atoms.

# 17
This record from the Alexandria database describes a relaxed structure of ErMgAl4. The functional is GGA-PBE.

Geometry as extended XYZ:
```
6
Lattice="2.159 -6.225 0.000 2.159 6.225 0.000 0.000 0.000 4.317" Properties=species:S:1:pos:R:3 pbc="T T T"
Er 0.000 0.000 0.000
Mg 2.159 0.000 2.158
Al 2.159 4.034 2.158
Al 2.159 2.223 0.000
Al 2.159 -2.223 0.000
Al 2.159 -4.034 2.158
```

The value obtained for the energy relative to the elements is -171 meV/atom. As for the excess energy over the best structure of this formula in the dataset: 88.4 meV/atom. For the magnetization, the calculation gives 0.00 μB per cell.

# 18
This record from the Alexandria database describes a relaxed structure of Pm2PdPt. The functional is GGA-PBE.

Geometry as extended XYZ:
```
8
Lattice="5.739 0.000 0.000 0.000 4.579 0.000 -2.629 0.000 7.312" Properties=species:S:1:pos:R:3 pbc="T T T"
Pm 0.142 1.145 3.175
Pm -1.127 1.145 6.792
Pm 4.237 3.434 0.520
Pm 2.968 3.434 4.137
Pd 1.313 3.434 1.508
Pd 1.797 1.145 5.804
Pt 0.035 3.434 5.171
Pt 3.075 1.145 2.141
```

The value obtained for the energy relative to the elements is -1017 meV/atom. As for the excess energy over the best structure of this formula in the dataset: 0.0 meV/atom. For the magnetization, the calculation gives 0.00 μB per cell.